The following is a DFT calculation (GGA+U) of a relaxed SiMoNO2 crystal.

The structure in CIF format:
```
data_SiMoNO2
_chemical_formula_sum 'Si1 Mo1 N1 O2'
_symmetry_space_group_name_H-M 'P 4/m m m'
_symmetry_Int_Tables_number 123
_symmetry_space_group_name_Hall '-P 4 2'
_cell_length_a 3.437
_cell_length_b 3.437
_cell_length_c 4.079
_cell_angle_alpha 90.00
_cell_angle_beta 90.00
_cell_angle_gamma 90.00
loop_
_atom_site_label
_atom_site_type_symbol
_atom_site_fract_x
_atom_site_fract_y
_atom_site_fract_z
Si1 Si 0.000 0.000 0.000
Mo1 Mo 0.500 0.500 0.500
N1 N 0.000 0.000 0.500
O1 O 0.000 0.500 0.000
```

Density ... 5.86 g/cm3
Final energy ... -7.089 eV per atom